Record 1
# TbCe2TmTe5

An optimized crystal structure of TbCe2TmTe5 (GGA-PBE, Alexandria).

## Properties
**Formation energy from raw total energies**: -0.840 eV/atom

a = 5.4626 Å, b = 5.4626 Å, c = 11.5584 Å
α = 90.00°, β = 90.00°, γ = 90.00°
Site moments in Bohr magnetons follow the coordinates.
Element x y z (fractional)
Tb1 0.0000 0.0000 0.0000  0.05
Ce1 0.5000 0.5000 0.3164  1.37
Ce2 0.5000 0.5000 0.6836  1.37
Tm1 0.0000 0.0000 0.5000  0.09
Te1 0.0000 0.5000 0.5000  -0.01
Te2 0.5000 0.0000 0.5000  -0.01
Te3 0.0000 0.0000 0.7536  -0.01
Te4 0.0000 0.0000 0.2464  -0.01
Te5 0.5000 0.5000 0.0000  -0.01

=====

Record 2
# TbCe2Tm3Te6

An optimized crystal structure of TbCe2Tm3Te6 (GGA-PBE, Alexandria).

## Properties
**Formation energy from raw total energies**: -1.271 eV/atom

a = 4.3212 Å, b = 8.8699 Å, c = 9.8446 Å
α = 104.62°, β = 102.68°, γ = 90.00°
Site moments in Bohr magnetons follow the coordinates.
Element x y z (fractional)
Tb1 0.5000 0.0000 0.0000  0.04
Ce1 0.8324 0.6645 0.6648  1.01
Ce2 0.1676 0.3355 0.3352  1.01
Tm1 0.5000 0.5000 0.0000  0.01
Tm2 0.8318 0.1663 0.6636  0.00
Tm3 0.1682 0.8337 0.3364  0.00
Te1 0.3328 0.9269 0.6657  -0.01
Te2 0.6626 0.5925 0.3251  -0.01
Te3 0.6672 0.0731 0.3343  -0.01
Te4 0.9960 0.2522 0.9921  0.00
Te5 0.0040 0.7478 0.0079  0.00
Te6 0.3374 0.4075 0.6749  -0.01

=====

Record 3
# TbCe3Tm2Te6

An optimized crystal structure of TbCe3Tm2Te6 (GGA-PBE, Alexandria).

## Properties
**Formation energy from raw total energies**: -1.308 eV/atom

a = 7.5518 Å, b = 7.5518 Å, c = 7.7804 Å
α = 99.30°, β = 99.30°, γ = 120.09°
Site moments in Bohr magnetons follow the coordinates.
Element x y z (fractional)
Tb1 0.0000 0.0000 0.0000  -0.02
Ce1 0.1638 0.8362 0.5000  0.99
Ce2 0.8362 0.1638 0.5000  0.99
Ce3 0.5000 0.5000 0.5000  0.99
Tm1 0.3327 0.6673 0.0000  -0.01
Tm2 0.6673 0.3327 0.0000  -0.01
Te1 0.9208 0.5834 0.7631  -0.01
Te2 0.7401 0.7401 0.2339  -0.01
Te3 0.0792 0.4166 0.2369  -0.01
Te4 0.5834 0.9208 0.7631  -0.01
Te5 0.2599 0.2599 0.7661  -0.01
Te6 0.4166 0.0792 0.2369  -0.01

=====

Record 4
# Tb3Ce4TmTe8

An optimized crystal structure of Tb3Ce4TmTe8 (GGA-PBE, Alexandria).

## Properties
**Formation energy from raw total energies**: -1.334 eV/atom

a = 8.7731 Å, b = 8.9209 Å, c = 8.7711 Å
α = 119.43°, β = 120.01°, γ = 90.00°
Site moments in Bohr magnetons follow the coordinates.
Element x y z (fractional)
Tb1 0.5000 0.5000 0.0000  0.00
Tb2 0.5000 0.5000 0.5000  0.00
Tb3 0.0000 0.5000 0.5000  0.00
Ce1 0.5000 0.0000 0.0000  -1.03
Ce2 0.5000 0.0000 0.5000  -1.00
Ce3 0.0000 0.0000 0.0000  -1.00
Ce4 0.0000 0.0000 0.5000  -1.00
Tm1 0.0000 0.5000 0.0000  0.00
Te1 0.2444 0.7380 0.9935  0.01
Te2 0.2444 0.7379 0.4889  0.01
Te3 0.2532 0.2597 0.5065  0.01
Te4 0.7491 0.7380 0.9935  0.01
Te5 0.2509 0.2620 0.0065  0.01
Te6 0.7468 0.7403 0.4935  0.01
Te7 0.7556 0.2621 0.5111  0.01
Te8 0.7556 0.2620 0.0065  0.01

=====

Record 5
# Tb3Ce2YTe6

An optimized crystal structure of Tb3Ce2YTe6 (GGA-PBE, Alexandria).

## Properties
**Formation energy from raw total energies**: -1.337 eV/atom

a = 4.3811 Å, b = 8.8884 Å, c = 9.8777 Å
α = 103.55°, β = 102.81°, γ = 90.00°
Site moments in Bohr magnetons follow the coordinates.
Element x y z (fractional)
Tb1 0.5000 0.5000 0.0000  0.02
Tb2 0.8318 0.1659 0.6635  0.01
Tb3 0.1682 0.8341 0.3365  0.01
Ce1 0.8323 0.6639 0.6646  0.98
Ce2 0.1677 0.3361 0.3354  0.98
Y1 0.5000 0.0000 0.0000  0.04
Te1 0.3345 0.9228 0.6689  -0.01
Te2 0.6639 0.5895 0.3279  -0.01
Te3 0.6655 0.0772 0.3311  -0.01
Te4 0.9976 0.2480 0.9951  0.00
Te5 0.0024 0.7520 0.0049  0.00
Te6 0.3361 0.4105 0.6721  -0.01

=====

Record 6
# TbCe2YTe5

An optimized crystal structure of TbCe2YTe5 (GGA-PBE, Alexandria).

## Properties
**Formation energy from raw total energies**: -0.817 eV/atom

a = 5.5538 Å, b = 5.5538 Å, c = 11.5631 Å
α = 90.00°, β = 90.00°, γ = 90.00°
Site moments in Bohr magnetons follow the coordinates.
Element x y z (fractional)
Tb1 0.0000 0.0000 0.5000  0.07
Ce1 0.5000 0.5000 0.3221  1.37
Ce2 0.5000 0.5000 0.6779  1.37
Y1 0.0000 0.0000 0.0000  0.05
Te1 0.0000 0.5000 0.5000  -0.02
Te2 0.5000 0.0000 0.5000  -0.02
Te3 0.0000 0.0000 0.7558  -0.01
Te4 0.0000 0.0000 0.2442  -0.01
Te5 0.5000 0.5000 0.0000  -0.01

=====

Record 7
# Tb3Ce3YTe8

An optimized crystal structure of Tb3Ce3YTe8 (GGA-PBE, Alexandria).

## Properties
**Formation energy from raw total energies**: -1.397 eV/atom

a = 8.7991 Å, b = 8.7992 Å, c = 8.8735 Å
α = 119.72°, β = 90.00°, γ = 120.00°
Site moments in Bohr magnetons follow the coordinates.
Element x y z (fractional)
Tb1 0.5000 0.0000 0.5000  0.02
Tb2 0.5000 0.5000 0.5000  0.02
Tb3 0.0000 0.5000 0.5000  0.02
Ce1 0.0000 0.0000 0.0000  1.02
Ce2 0.0000 0.5000 0.0000  1.02
Ce3 0.5000 0.5000 0.0000  1.02
Y1 0.0000 0.0000 0.5000  0.08
Te1 0.2531 0.5062 0.2593  -0.01
Te2 0.7469 0.4938 0.7407  -0.01
Te3 0.7479 0.4959 0.2546  -0.01
Te4 0.2521 0.5041 0.7454  -0.01
Te5 0.7480 0.0066 0.2545  -0.01
Te6 0.2520 0.9934 0.7455  -0.01
Te7 0.2586 0.0066 0.2545  -0.01
Te8 0.7414 0.9934 0.7455  -0.01

=====

Record 8
# Tb2Ce3YTe6

An optimized crystal structure of Tb2Ce3YTe6 (GGA-PBE, Alexandria).

## Properties
**Formation energy from raw total energies**: -1.351 eV/atom

a = 7.6164 Å, b = 7.6164 Å, c = 7.7749 Å
α = 99.40°, β = 99.40°, γ = 120.10°
Site moments in Bohr magnetons follow the coordinates.
Element x y z (fractional)
Tb1 0.3335 0.6665 0.0000  -0.01
Tb2 0.6665 0.3335 0.0000  -0.01
Ce1 0.1671 0.8329 0.5000  0.98
Ce2 0.8329 0.1671 0.5000  0.98
Ce3 0.5000 0.5000 0.5000  0.98
Y1 0.0000 0.0000 0.0000  -0.01
Te1 0.9202 0.5873 0.7603  -0.01
Te2 0.7474 0.7474 0.2403  -0.01
Te3 0.0798 0.4127 0.2397  -0.01
Te4 0.5873 0.9202 0.7603  -0.01
Te5 0.2526 0.2526 0.7597  -0.01
Te6 0.4127 0.0798 0.2397  -0.01

=====

Record 9
# TbCe3Y2Te6

An optimized crystal structure of TbCe3Y2Te6 (GGA-PBE, Alexandria).

## Properties
**Formation energy from raw total energies**: -1.352 eV/atom

a = 7.6142 Å, b = 7.6142 Å, c = 7.7748 Å
α = 99.38°, β = 99.38°, γ = 120.10°
Site moments in Bohr magnetons follow the coordinates.
Element x y z (fractional)
Tb1 0.0000 0.0000 0.0000  -0.01
Ce1 0.1663 0.8337 0.5000  0.99
Ce2 0.8337 0.1663 0.5000  0.99
Ce3 0.5000 0.5000 0.5000  0.99
Y1 0.3333 0.6667 0.0000  -0.01
Y2 0.6667 0.3333 0.0000  -0.01
Te1 0.9200 0.5862 0.7602  -0.01
Te2 0.7459 0.7459 0.2395  -0.01
Te3 0.0800 0.4138 0.2398  -0.01
Te4 0.5862 0.9200 0.7602  -0.01
Te5 0.2541 0.2541 0.7605  -0.01
Te6 0.4138 0.0800 0.2398  -0.01

=====

Record 10
# TbCe3Y3Te8

An optimized crystal structure of TbCe3Y3Te8 (GGA-PBE, Alexandria).

## Properties
**Formation energy from raw total energies**: -1.397 eV/atom

a = 8.7936 Å, b = 8.7935 Å, c = 8.8662 Å
α = 119.73°, β = 90.00°, γ = 120.00°
Site moments in Bohr magnetons follow the coordinates.
Element x y z (fractional)
Tb1 0.0000 0.0000 0.5000  0.09
Ce1 0.0000 0.0000 0.0000  1.02
Ce2 0.0000 0.5000 0.0000  1.02
Ce3 0.5000 0.5000 0.0000  1.02
Y1 0.5000 0.0000 0.5000  0.02
Y2 0.5000 0.5000 0.5000  0.02
Y3 0.0000 0.5000 0.5000  0.02
Te1 0.2534 0.5067 0.2601  -0.01
Te2 0.7466 0.4933 0.7399  -0.01
Te3 0.7474 0.4949 0.2545  -0.01
Te4 0.2526 0.5051 0.7455  -0.01
Te5 0.7474 0.0071 0.2545  -0.01
Te6 0.2526 0.9929 0.7455  -0.01
Te7 0.2596 0.0071 0.2545  -0.01
Te8 0.7404 0.9929 0.7455  -0.01

=====

Record 11
# Tb3CeY2Te6

An optimized crystal structure of Tb3CeY2Te6 (GGA-PBE, Alexandria).

## Properties
**Formation energy from raw total energies**: -1.323 eV/atom

a = 4.3654 Å, b = 8.8369 Å, c = 9.8138 Å
α = 102.98°, β = 102.85°, γ = 90.00°
Site moments in Bohr magnetons follow the coordinates.
Element x y z (fractional)
Tb1 0.5000 0.5000 0.0000  0.01
Tb2 0.8358 0.1669 0.6716  0.01
Tb3 0.1642 0.8331 0.3284  0.01
Ce1 0.5000 0.0000 0.0000  0.96
Y1 0.8361 0.6720 0.6721  0.02
Y2 0.1639 0.3280 0.3279  0.02
Te1 0.3298 0.9155 0.6597  0.00
Te2 0.6683 0.5821 0.3366  0.00
Te3 0.6702 0.0845 0.3403  0.00
Te4 0.0002 0.2570 0.0004  -0.01
Te5 0.9998 0.7430 0.9996  -0.01
Te6 0.3317 0.4179 0.6634  0.00

=====

Record 12
# TbCe2Y3Te6

An optimized crystal structure of TbCe2Y3Te6 (GGA-PBE, Alexandria).

## Properties
**Formation energy from raw total energies**: -1.338 eV/atom

a = 4.3728 Å, b = 8.8944 Å, c = 9.8828 Å
α = 103.79°, β = 102.78°, γ = 90.00°
Site moments in Bohr magnetons follow the coordinates.
Element x y z (fractional)
Tb1 0.5000 0.0000 0.0000  0.04
Ce1 0.8324 0.6641 0.6647  0.99
Ce2 0.1676 0.3359 0.3353  0.99
Y1 0.5000 0.5000 0.0000  0.01
Y2 0.8322 0.1661 0.6643  0.01
Y3 0.1678 0.8339 0.3357  0.01
Te1 0.3340 0.9232 0.6679  -0.01
Te2 0.6638 0.5899 0.3275  -0.01
Te3 0.6660 0.0768 0.3321  -0.01
Te4 0.9975 0.2489 0.9950  0.00
Te5 0.0025 0.7511 0.0050  0.00
Te6 0.3362 0.4101 0.6725  -0.01